Record 1
! Tb6PmAl2, optimized geometry, DFT GGA-PBE; values from VASP
! **Total moment**: 0.0 μB per cell
! **DOS(E_F)**: 1.147 states/eV per atom
! **Energy above the lowest structure with this stoichiometry**: 0.0000 eV/atom
! **Calculated formation energy**: -0.158 eV/atom
! **Space-group type**: C2/m
&SYSTEM
  ibrav = 0, nat = 9, ntyp = 3
/
ATOMIC_SPECIES
Tb 158.93 Tb.upf
Pm 145.00 Pm.upf
Al 26.98 Al.upf
CELL_PARAMETERS angstrom
6.299 -1.857 0.000
6.299 1.857 0.000
-3.807 0.000 11.172
ATOMIC_POSITIONS crystal
Tb 0.020 0.020 0.330
Tb 0.310 0.310 0.125
Tb 0.311 0.311 0.414
Tb 0.689 0.689 0.586
Tb 0.690 0.690 0.875
Tb 0.980 0.980 0.670
Pm 0.000 0.000 0.000
Al 0.350 0.350 0.789
Al 0.650 0.650 0.211

---

Record 2
! TbPm2Al9, optimized geometry, DFT GGA-PBE; values from VASP
! **Total moment**: 0.0 μB per cell
! **DOS(E_F)**: 0.456 states/eV per atom
! **Calculated formation energy**: -0.365 eV/atom
! **Space-group type**: R-3m
&SYSTEM
  ibrav = 0, nat = 12, ntyp = 3
/
ATOMIC_SPECIES
Tb 158.93 Tb.upf
Pm 145.00 Pm.upf
Al 26.98 Al.upf
CELL_PARAMETERS angstrom
2.817 1.626 8.814
-2.817 1.626 8.814
0.000 -3.253 8.814
ATOMIC_POSITIONS crystal
Tb 0.000 0.000 0.000
Pm 0.142 0.142 0.142
Pm 0.858 0.858 0.858
Al 0.075 0.586 0.586
Al 0.335 0.335 0.335
Al 0.414 0.414 0.925
Al 0.414 0.925 0.414
Al 0.500 0.500 0.500
Al 0.586 0.075 0.586
Al 0.586 0.586 0.075
Al 0.665 0.665 0.665
Al 0.925 0.414 0.414

---

Record 3
! Tb3PmAl8, optimized geometry, DFT GGA-PBE; values from VASP
! **Total moment**: 0.0 μB per cell
! **DOS(E_F)**: 0.890 states/eV per atom
! **Energy above the lowest structure with this stoichiometry**: 0.0000 eV/atom
! **Calculated formation energy**: -0.516 eV/atom
! **Space-group type**: R3m
&SYSTEM
  ibrav = 0, nat = 12, ntyp = 3
/
ATOMIC_SPECIES
Tb 158.93 Tb.upf
Pm 145.00 Pm.upf
Al 26.98 Al.upf
CELL_PARAMETERS angstrom
2.795 1.614 9.171
-2.795 1.614 9.171
0.000 -3.227 9.171
ATOMIC_POSITIONS crystal
Tb 0.000 0.000 0.000
Tb 0.124 0.124 0.124
Tb 0.625 0.625 0.625
Pm 0.500 0.500 0.500
Al 0.061 0.562 0.562
Al 0.063 0.063 0.563
Al 0.063 0.563 0.063
Al 0.312 0.312 0.312
Al 0.562 0.061 0.562
Al 0.562 0.562 0.061
Al 0.563 0.063 0.063
Al 0.812 0.812 0.812